DFT (GGA-PBE) results for crystalline TbEr2Ni2 at its relaxed geometry.

Geometry as POSCAR:
```
TbEr2Ni2
1.0
-2.382 2.382 10.051
2.382 -2.382 10.051
2.382 2.382 -10.051
Tb Er Ni
2 4 4
Cartesian
0.000 0.000 2.834
0.000 0.000 17.269
2.382 0.000 0.000
0.000 0.000 6.217
0.000 2.382 0.000
0.000 0.000 13.886
2.382 0.000 5.026
0.000 0.000 8.778
0.000 0.000 11.325
0.000 2.382 5.026
```

Summary:
Symmetry ... No. 139
Uncorrected energy ... -25.88 eV per formula unit
Energy relative to the elements ... -0.197 eV per atom

DFT (GGA-PBE) results for crystalline ErTcNi at its relaxed geometry.

Geometry as POSCAR:
```
ErTcNi
1.0
0.000 3.117 3.117
3.117 0.000 3.117
3.117 3.117 0.000
Er Tc Ni
1 1 1
Cartesian
0.000 0.000 0.000
1.558 1.558 1.558
4.675 4.675 4.675
```

Summary:
Symmetry ... No. 216
Uncorrected energy ... -17.48 eV per formula unit
Energy relative to the elements ... 1.005 eV per atom
Energy above the most stable polymorph in this dataset ... 699 meV per atom

DFT (GGA-PBE) results for crystalline ErTcNi at its relaxed geometry.

Geometry as POSCAR:
```
ErTcNi
1.0
0.000 3.056 3.056
3.056 0.000 3.056
3.056 3.056 0.000
Er Tc Ni
1 1 1
Cartesian
0.000 0.000 0.000
3.056 3.056 3.056
1.528 1.528 1.528
```

Summary:
Symmetry ... No. 216
Uncorrected energy ... -19.57 eV per formula unit
Energy relative to the elements ... 0.306 eV per atom
Energy above the most stable polymorph in this dataset ... 0 meV per atom

Which formula does entry 1 have? TbEr2Ni2